14
Lattice="-3.043 3.136 4.319 3.043 -3.136 4.319 3.043 3.136 -4.319" Properties=species:S:1:pos:R:3 comment="MgZnMoO4 GGA+U relaxed" spacegroup="Imma (74)" total_energy_ev_per_atom=-6.18 pbc="T T T"
Mg -1.522 1.568 2.160
Mg 1.522 1.568 2.160
Zn 3.043 1.568 -1.185
Zn 0.000 1.568 5.504
Mo 0.000 0.000 0.000
Mo 0.000 3.136 0.000
O 0.000 0.109 2.024
O 1.415 1.568 0.041
O 1.628 -1.568 4.360
O 3.043 0.109 2.296
O 0.000 3.026 2.024
O 1.415 4.704 -0.041
O 1.628 1.568 4.278
O 3.043 3.026 2.296